Computed, not measured: an optimized crystal structure of La5Sn2Ge2 at the PBE level of DFT.

The structure in CIF format:
```
data_La5Sn2Ge2
_chemical_formula_sum 'La20 Sn8 Ge8'
_space_group_name_H-M_alt 'C m c e'
_space_group_IT_number 64
_space_group_name_Hall '-C 2ac 2'
_cell_length_a 16.129
_cell_length_b 8.336
_cell_length_c 8.364
_cell_angle_alpha 90.00
_cell_angle_beta 90.00
_cell_angle_gamma 90.00
loop_
_atom_site_label
_atom_site_fract_x
_atom_site_fract_y
_atom_site_fract_z
La1 0.000 0.000 0.000
La2 0.133 0.178 0.325
Sn1 0.210 0.000 0.000
Ge1 0.000 0.118 0.620
```

calculated volume: 31.24 Å³/atom
DFT total energy: -5.438 eV/atom
ΔE_f: -0.79 eV per atom

***

Computed, not measured: an optimized crystal structure of BaVB2 at the PBE level of DFT.

The structure in CIF format:
```
data_BaVB2
_chemical_formula_sum 'Ba4 V4 B8'
_space_group_name_H-M_alt 'F m -3 m'
_space_group_IT_number 225
_space_group_name_Hall '-F 4 2 3'
_cell_length_a 6.575
_cell_length_b 6.575
_cell_length_c 6.575
_cell_angle_alpha 90.00
_cell_angle_beta 90.00
_cell_angle_gamma 90.00
loop_
_atom_site_label
_atom_site_fract_x
_atom_site_fract_y
_atom_site_fract_z
Ba1 0.000 0.000 0.000
V1 0.000 0.000 0.500
B1 0.250 0.250 0.250
```

excess energy over the best structure of this formula in the dataset: 3.11 eV/f.u.
calculated volume: 17.76 Å³/atom
DFT total energy: -4.599 eV/atom
ΔE_f: 1.50 eV per atom

***

Computed, not measured: an optimized crystal structure of LaSm3Tm3 at the PBE level of DFT.

The structure in CIF format:
```
data_LaSm3Tm3
_chemical_formula_sum 'La3 Sm9 Tm9'
_space_group_name_H-M_alt 'R 3 m'
_space_group_IT_number 160
_space_group_name_Hall 'R 3 -2"'
_cell_length_a 9.9509
_cell_length_b 9.9509
_cell_length_c 8.1266
_cell_angle_alpha 90.00
_cell_angle_beta 90.00
_cell_angle_gamma 120.00
loop_
_atom_site_label
_atom_site_fract_x
_atom_site_fract_y
_atom_site_fract_z
La1 0.0000 0.0000 0.0000
Sm1 0.0925 0.5462 0.9583
Tm1 0.0648 0.5324 0.3878
```

excess energy over the best structure of this formula in the dataset: 0.26 eV/f.u.
calculated volume: 33.19 Å³/atom
DFT total energy: -4.410 eV/atom
ΔE_f: 0.23 eV per atom

***

Computed, not measured: an optimized crystal structure of Nd5Tm3Te8 at the PBE level of DFT.

The structure in CIF format:
```
data_Nd5Tm3Te8
_chemical_formula_sum 'Nd15 Tm9 Te24'
_space_group_name_H-M_alt 'R -3 m'
_space_group_IT_number 166
_space_group_name_Hall '-R 3 2"'
_cell_length_a 8.7499
_cell_length_b 8.7499
_cell_length_c 22.2176
_cell_angle_alpha 90.00
_cell_angle_beta 90.00
_cell_angle_gamma 120.00
loop_
_atom_site_label
_atom_site_fract_x
_atom_site_fract_y
_atom_site_fract_z
Nd1 0.0000 0.0000 0.0000
Nd2 0.0000 0.0000 0.5000
Nd3 0.0000 0.5000 0.0000
Tm1 0.0000 0.5000 0.5000
Te1 0.0000 0.0000 0.2441
Te2 0.0080 0.5040 0.7540
```

ΔE_f (raw): -1.327 eV per atom
calculated volume: 30.69 Å³/atom
DFT total energy: -5.226 eV/atom

***

Computed, not measured: an optimized crystal structure of BRu3N at the PBE level of DFT.

The structure in CIF format:
```
data_BRu3N
_chemical_formula_sum 'B1 Ru3 N1'
_space_group_name_H-M_alt 'P m -3 m'
_space_group_IT_number 221
_space_group_name_Hall '-P 4 2 3'
_cell_length_a 3.932
_cell_length_b 3.932
_cell_length_c 3.932
_cell_angle_alpha 90.00
_cell_angle_beta 90.00
_cell_angle_gamma 90.00
loop_
_atom_site_label
_atom_site_fract_x
_atom_site_fract_y
_atom_site_fract_z
B1 0.000 0.000 0.000
Ru1 0.000 0.500 0.500
N1 0.500 0.500 0.500
```

ΔE_f (raw): 0.780 eV per atom
excess energy over the best structure of this formula in the dataset: 0.00 eV/f.u.
calculated volume: 12.16 Å³/atom
DFT total energy: -7.786 eV/atom

***

Computed, not measured: an optimized crystal structure of TaTc2GeOs at the PBE level of DFT.

The structure in CIF format:
```
data_TaTc2GeOs
_chemical_formula_sum 'Ta1 Tc2 Ge1 Os1'
_space_group_name_H-M_alt 'P 4/m m m'
_space_group_IT_number 123
_space_group_name_Hall '-P 4 2'
_cell_length_a 4.640
_cell_length_b 4.640
_cell_length_c 4.776
_cell_angle_alpha 90.00
_cell_angle_beta 90.00
_cell_angle_gamma 90.00
loop_
_atom_site_label
_atom_site_fract_x
_atom_site_fract_y
_atom_site_fract_z
Ta1 0.000 0.000 0.000
Tc1 0.000 0.500 0.000
Ge1 0.000 0.000 0.500
Os1 0.500 0.500 0.500
```

calculated volume: 20.56 Å³/atom
DFT total energy: -7.567 eV/atom
ΔE_f: 2.12 eV per atom

***

Computed, not measured: an optimized crystal structure of KTaSe3 at the PBE level of DFT.

The structure in CIF format:
```
data_KTaSe3
_chemical_formula_sum 'K8 Ta8 Se24'
_space_group_name_H-M_alt 'C 1 2/c 1'
_space_group_IT_number 15
_cell_length_a 15.936
_cell_length_b 11.412
_cell_length_c 6.734
_cell_angle_alpha 90.00
_cell_angle_beta 100.09
_cell_angle_gamma 90.00
loop_
_space_group_symop_operation_xyz
'x,y,z'
'-x,-y,-z'
'-x,y,-z+1/2'
'x,-y,z+1/2'
'x+1/2,y+1/2,z'
'-x+1/2,-y+1/2,-z'
'-x+1/2,y+1/2,-z+1/2'
'x+1/2,-y+1/2,z+1/2'
loop_
_atom_site_label
_atom_site_fract_x
_atom_site_fract_y
_atom_site_fract_z
K1 0.000 0.127 0.250
K2 0.000 0.324 0.750
Ta1 0.238 0.079 0.044
Se1 0.143 0.070 0.661
Se2 0.160 0.265 0.101
Se3 0.166 0.430 0.620
```

ΔE_f (raw): -0.872 eV per atom
excess energy over the best structure of this formula in the dataset: 0.30 eV/f.u.
calculated volume: 30.14 Å³/atom
DFT total energy: -5.552 eV/atom

***

Computed, not measured: an optimized crystal structure of LiIr2Rh2 at the PBE level of DFT.

The structure in CIF format:
```
data_LiIr2Rh2
_chemical_formula_sum 'Li2 Ir4 Rh4'
_space_group_name_H-M_alt 'P 4/m b m'
_space_group_IT_number 127
_space_group_name_Hall '-P 4 2ab'
_cell_length_a 7.612
_cell_length_b 7.612
_cell_length_c 2.714
_cell_angle_alpha 90.00
_cell_angle_beta 90.00
_cell_angle_gamma 90.00
loop_
_atom_site_label
_atom_site_fract_x
_atom_site_fract_y
_atom_site_fract_z
Li1 0.000 0.000 0.000
Ir1 0.120 0.380 0.000
Rh1 0.178 0.678 0.500
```

excess energy over the best structure of this formula in the dataset: 0.00 eV/f.u.
calculated volume: 15.73 Å³/atom
DFT total energy: -6.805 eV/atom
ΔE_f: 0.06 eV per atom

***

Computed, not measured: an optimized crystal structure of Ca3NpRh3 at the PBE level of DFT.

The structure in CIF format:
```
data_Ca3NpRh3
_chemical_formula_sum 'Ca12 Np4 Rh12'
_space_group_name_H-M_alt 'C 1 2/m 1'
_space_group_IT_number 12
_cell_length_a 6.661
_cell_length_b 9.472
_cell_length_c 10.368
_cell_angle_alpha 90.00
_cell_angle_beta 93.97
_cell_angle_gamma 90.00
loop_
_space_group_symop_operation_xyz
'x,y,z'
'-x,-y,-z'
'-x,y,-z'
'x,-y,z'
'x+1/2,y+1/2,z'
'-x+1/2,-y+1/2,-z'
'-x+1/2,y+1/2,-z'
'x+1/2,-y+1/2,z'
loop_
_atom_site_label
_atom_site_fract_x
_atom_site_fract_y
_atom_site_fract_z
Ca1 0.000 0.185 0.000
Ca2 0.000 0.294 0.500
Ca3 0.056 0.500 0.183
Np1 0.104 0.000 0.303
Rh1 0.198 0.000 0.572
Rh2 0.229 0.262 0.752
```

calculated volume: 23.31 Å³/atom
DFT total energy: -6.136 eV/atom
ΔE_f: -0.28 eV per atom

***

Computed, not measured: an optimized crystal structure of La3Tb4Pm2 at the PBE level of DFT.

The structure in CIF format:
```
data_La3Tb4Pm2
_chemical_formula_sum 'La12 Tb16 Pm8'
_space_group_name_H-M_alt 'C 1 2/c 1'
_space_group_IT_number 15
_cell_length_a 16.653
_cell_length_b 11.936
_cell_length_c 6.215
_cell_angle_alpha 90.00
_cell_angle_beta 97.72
_cell_angle_gamma 90.00
loop_
_space_group_symop_operation_xyz
'x,y,z'
'-x,-y,-z'
'-x,y,-z+1/2'
'x,-y,z+1/2'
'x+1/2,y+1/2,z'
'-x+1/2,-y+1/2,-z'
'-x+1/2,y+1/2,-z+1/2'
'x+1/2,-y+1/2,z+1/2'
loop_
_atom_site_label
_atom_site_fract_x
_atom_site_fract_y
_atom_site_fract_z
La1 0.000 0.126 0.250
La2 0.165 0.368 0.087
Tb1 0.055 0.379 0.535
Tb2 0.225 0.122 0.363
Pm1 0.113 0.128 0.798
```

excess energy over the best structure of this formula in the dataset: 0.63 eV/f.u.
calculated volume: 34.00 Å³/atom
DFT total energy: -4.663 eV/atom
ΔE_f: 0.09 eV per atom

***

Computed, not measured: an optimized crystal structure of Rb2HgAsS4 at the PBE level of DFT.

The structure in CIF format:
```
data_Rb2HgAsS4
_chemical_formula_sum 'Rb4 Hg2 As2 S8'
_space_group_name_H-M_alt 'I -4'
_space_group_IT_number 82
_cell_length_a 7.600
_cell_length_b 7.600
_cell_length_c 8.690
_cell_angle_alpha 90.00
_cell_angle_beta 90.00
_cell_angle_gamma 90.00
loop_
_space_group_symop_operation_xyz
'x,y,z'
'y,-x,-z'
'-x,-y,z'
'-y,x,-z'
'x+1/2,y+1/2,z+1/2'
'y+1/2,-x+1/2,-z+1/2'
'-x+1/2,-y+1/2,z+1/2'
'-y+1/2,x+1/2,-z+1/2'
loop_
_atom_site_label
_atom_site_fract_x
_atom_site_fract_y
_atom_site_fract_z
Rb1 0.000 0.000 0.000
Rb2 0.000 0.500 0.250
Hg1 0.000 0.500 0.750
As1 0.000 0.000 0.500
S1 0.147 0.782 0.637
```

ΔE_f (raw): -0.522 eV per atom
calculated volume: 31.37 Å³/atom
DFT total energy: -3.446 eV/atom

***

Computed, not measured: an optimized crystal structure of LiMg2NbBi at the PBE level of DFT.

The structure in CIF format:
```
data_LiMg2NbBi
_chemical_formula_sum 'Li1 Mg2 Nb1 Bi1'
_space_group_name_H-M_alt 'P 4/m m m'
_space_group_IT_number 123
_space_group_name_Hall '-P 4 2'
_cell_length_a 5.519
_cell_length_b 5.519
_cell_length_c 4.988
_cell_angle_alpha 90.00
_cell_angle_beta 90.00
_cell_angle_gamma 90.00
loop_
_atom_site_label
_atom_site_fract_x
_atom_site_fract_y
_atom_site_fract_z
Li1 0.000 0.000 0.000
Mg1 0.000 0.500 0.500
Nb1 0.500 0.500 0.000
Bi1 0.000 0.000 0.500
```

calculated volume: 30.39 Å³/atom
DFT total energy: -2.842 eV/atom
ΔE_f: 0.97 eV per atom

***

For each record above, in turn, the calculated theoretical density values are 6363 4905 7840 7605 8962 10334 5034 12612 6778 7284 3803 3907 kg/m3.